No. 1
This record from Alexandria via LeMat-Bulk describes a geometry-optimized Y3Ho6Mg structure. The functional is GGA-PBE.

Cell lengths 4.9965, 11.0587, 11.1464 Å; angles 90.54, 90.00, 90.00 degrees
Fractional coordinates of all 20 atoms:
1 Y 0.2500 0.5514 0.4008
2 Y 0.7500 0.4486 0.5992
3 Y 0.2500 0.3478 0.7955
4 Y 0.7500 0.6522 0.2045
5 Y 0.2500 0.7519 0.0037
6 Y 0.7500 0.2481 0.9963
7 Ho 0.2500 0.4481 0.1021
8 Ho 0.7500 0.5519 0.8979
9 Ho 0.2500 0.1503 0.1962
10 Ho 0.7500 0.8497 0.8038
11 Ho 0.2500 0.6540 0.7010
12 Ho 0.7500 0.3460 0.2990
13 Ho 0.2500 0.2437 0.4968
14 Ho 0.7500 0.7563 0.5032
15 Ho 0.2500 0.8546 0.3069
16 Ho 0.7500 0.1454 0.6931
17 Ho 0.2500 0.0477 0.8989
18 Ho 0.7500 0.9523 0.1011
19 Mg 0.2500 0.9511 0.6001
20 Mg 0.7500 0.0489 0.3999

Energy of formation from the pure elements in eV/atom: 0.0243
Space-group type: P2_1/m
Relative energy among the computed polymorphs in meV per atom: 0.0



No. 2
This record from Alexandria via LeMat-Bulk describes a geometry-optimized YHo2Mg9 structure. The functional is GGA-PBE.

Cell lengths 6.0297, 6.0297, 10.2779 Å; angles 72.94, 72.94, 60.00 degrees
Fractional coordinates of all 12 atoms:
1 Y 0.0000 0.0000 0.0000
2 Ho 0.8570 0.8570 0.4291
3 Ho 0.1430 0.1430 0.5709
4 Mg 0.6659 0.6659 0.0023
5 Mg 0.3341 0.3341 0.9977
6 Mg 0.5000 0.5000 0.5000
7 Mg 0.4131 0.4131 0.2528
8 Mg 0.9209 0.4131 0.2528
9 Mg 0.4131 0.9209 0.2528
10 Mg 0.5869 0.5869 0.7472
11 Mg 0.5869 0.0791 0.7472
12 Mg 0.0791 0.5869 0.7472

Energy of formation from the pure elements in eV/atom: -0.0325
Space-group type: R-3m



No. 3
This record from Alexandria via LeMat-Bulk describes a geometry-optimized Y3Ho7Mg structure. The functional is GGA-PBE.

Cell lengths 8.5445, 6.9564, 6.9564 Å; angles 120.00, 90.00, 90.00 degrees
Fractional coordinates of all 11 atoms:
1 Y 0.7848 0.5014 0.4986
2 Y 0.7848 0.5014 0.0028
3 Y 0.7848 0.9972 0.4986
4 Ho 0.1206 0.1670 0.8330
5 Ho 0.1206 0.1670 0.3340
6 Ho 0.1174 0.6667 0.3333
7 Ho 0.4450 0.8304 0.1696
8 Ho 0.4450 0.3392 0.1696
9 Ho 0.4450 0.8304 0.6608
10 Ho 0.1206 0.6660 0.8330
11 Mg 0.4464 0.3333 0.6667

Energy of formation from the pure elements in eV/atom: 0.1988
Space-group type: P3m1



No. 4
This record from Alexandria via LeMat-Bulk describes a geometry-optimized YHoMg17 structure. The functional is GGA-PBE.

Cell lengths 7.7778, 7.7778, 7.7778 Å; angles 82.03, 82.03, 82.03 degrees
Fractional coordinates of all 19 atoms:
1 Y 0.6716 0.6716 0.6716
2 Ho 0.3281 0.3281 0.3281
3 Mg 0.3041 0.0005 0.6955
4 Mg 0.6955 0.3041 0.0005
5 Mg 0.0005 0.6955 0.3041
6 Mg 0.3041 0.6955 0.0005
7 Mg 0.0005 0.3041 0.6955
8 Mg 0.6955 0.0005 0.3041
9 Mg 0.3532 0.8408 0.3532
10 Mg 0.3532 0.3532 0.8408
11 Mg 0.8408 0.3532 0.3532
12 Mg 0.6461 0.1611 0.6461
13 Mg 0.6461 0.6461 0.1611
14 Mg 0.1611 0.6461 0.6461
15 Mg 0.9993 0.5006 0.9993
16 Mg 0.9993 0.9993 0.5006
17 Mg 0.5006 0.9993 0.9993
18 Mg 0.9010 0.9010 0.9010
19 Mg 0.0998 0.0998 0.0998

Energy of formation from the pure elements in eV/atom: -0.0139
Space-group type: R3m



No. 5
This record from Alexandria via LeMat-Bulk describes a geometry-optimized YHoMg2 structure. The functional is GGA-PBE.

Cell lengths 3.7534, 5.3843, 5.3843 Å; angles 90.00, 90.00, 90.00 degrees
Fractional coordinates of all 4 atoms:
1 Y 0.5000 0.5000 0.5000
2 Mg 0.0000 0.0000 0.5000
3 Mg 0.0000 0.5000 0.0000
4 Ho 0.5000 0.0000 0.0000

Energy of formation from the pure elements in eV/atom: -0.0929
Space-group type: P4/mmm



No. 6
This record from Alexandria via LeMat-Bulk describes a geometry-optimized YHo3Mg structure. The functional is GGA-PBE.

Cell lengths 3.6343, 6.6673, 12.8333 Å; angles 86.33, 90.01, 74.19 degrees
Fractional coordinates of all 10 atoms:
1 Y 0.2345 0.5307 0.7609
2 Y 0.7655 0.4693 0.2391
3 Ho 0.1494 0.7013 0.4392
4 Ho 0.3658 0.2686 0.0209
5 Ho 0.0334 0.9327 0.1877
6 Ho 0.8506 0.2987 0.5608
7 Ho 0.9666 0.0673 0.8123
8 Ho 0.6342 0.7314 0.9791
9 Mg 0.5611 0.8778 0.6240
10 Mg 0.4389 0.1222 0.3760

Energy of formation from the pure elements in eV/atom: -0.0198
Space-group type: C2/m
Relative energy among the computed polymorphs in meV per atom: 0.0



No. 7
This record from Alexandria via LeMat-Bulk describes a geometry-optimized YHo2Mg3 structure. The functional is GGA-PBE.

Cell lengths 3.7909, 3.7909, 11.3081 Å; angles 90.00, 90.00, 90.00 degrees
Fractional coordinates of all 6 atoms:
1 Y 0.5000 0.5000 0.5000
2 Ho 0.5000 0.5000 0.8347
3 Ho 0.5000 0.5000 0.1653
4 Mg 0.0000 0.0000 0.0000
5 Mg 0.0000 0.0000 0.6684
6 Mg 0.0000 0.0000 0.3316

Energy of formation from the pure elements in eV/atom: -0.0848
Space-group type: P4/mmm



No. 8
This record from Alexandria via LeMat-Bulk describes a geometry-optimized YHo2Mg2 structure. The functional is GGA-PBE.

Cell lengths 3.5474, 8.9675, 8.9675 Å; angles 90.00, 90.00, 90.00 degrees
Fractional coordinates of all 10 atoms:
1 Y 0.0000 0.0000 0.0000
2 Y 0.0000 0.5000 0.5000
3 Ho 0.0000 0.8706 0.3706
4 Ho 0.0000 0.3706 0.1294
5 Ho 0.0000 0.1294 0.6294
6 Ho 0.0000 0.6294 0.8706
7 Mg 0.5000 0.3311 0.8311
8 Mg 0.5000 0.8311 0.6689
9 Mg 0.5000 0.6689 0.1689
10 Mg 0.5000 0.1689 0.3311

Energy of formation from the pure elements in eV/atom: 0.0673
Space-group type: P4/mbm
Relative energy among the computed polymorphs in meV per atom: 141.7



Which of these has the highest energy of formation from the pure elements?
Y3Ho7Mg